1.
The following is a DFT calculation (PBE-GGA) of an optimized crystal structure of Na2Tl4In2Hg.

abc: 3.612 3.612 22.948
angles: 90.00 90.00 120.00
Atoms (fractional coordinates):
In: 0.667 0.333 0.426
Hg: 0.000 0.000 0.326
Tl: 0.000 0.000 0.760
Tl: 0.667 0.333 0.873
Na: 0.667 0.333 0.651
Na: 0.000 0.000 0.983
Tl: 0.667 0.333 0.095
In: 0.667 0.333 0.226
Tl: 0.000 0.000 0.538

Output
The formation enthalpy at 0 K is -0.021 eV/atom. The total moment comes out at 0.0 μB/cell. The calculation puts the density of states at the Fermi level at 2.88 states/eV per cell. The final energy comes out at -2.01 eV/atom. Its crystal system is trigonal.



2.
The following is a DFT calculation (PBE-GGA) of an optimized crystal structure of NaTmInHg.

abc: 5.200 5.200 5.200
angles: 60.00 60.00 60.00
Atoms (fractional coordinates):
Hg: 0.750 0.750 0.750
In: 0.250 0.250 0.250
Tm: 0.500 0.500 0.500
Na: 0.000 0.000 0.000

Output
The formation enthalpy at 0 K is -0.276 eV/atom. The total moment comes out at 0.0 μB/cell. As for the energy above the lowest structure with this stoichiometry: 10 meV/atom. The calculation puts the density of states at the Fermi level at 2.74 states/eV per cell. The final energy comes out at -2.48 eV/atom. Its crystal system is cubic.



3.
The following is a DFT calculation (PBE-GGA) of an optimized crystal structure of NaTmInHg.

abc: 3.697 3.697 7.505
angles: 90.00 90.00 90.00
Atoms (fractional coordinates):
In: 0.000 0.000 0.850
Tm: 0.500 0.500 0.598
Na: 0.500 0.500 0.114
Hg: 0.000 0.000 0.366

Output
The formation enthalpy at 0 K is -0.285 eV/atom. The total moment comes out at 0.0 μB/cell. As for the energy above the lowest structure with this stoichiometry: 0 meV/atom. The calculation puts the density of states at the Fermi level at 1.89 states/eV per cell. The final energy comes out at -2.49 eV/atom. Its crystal system is tetragonal.



4.
The following is a DFT calculation (PBE-GGA) of an optimized crystal structure of NaVIn2Hg.

abc: 5.423 5.162 5.423
angles: 90.00 90.00 90.00
Atoms (fractional coordinates):
Hg: 0.500 0.500 0.500
V: 0.000 0.500 0.000
In: 0.500 0.000 0.000
Na: 0.000 0.000 0.000
In: 0.000 0.000 0.500

Output
The formation enthalpy at 0 K is 1.028 eV/atom. The total moment comes out at 3.9 μB/cell. The calculation puts the density of states at the Fermi level at 5.51 states/eV per cell. The final energy comes out at -2.22 eV/atom. Its crystal system is tetragonal.



5.
The following is a DFT calculation (PBE-GGA) of an optimized crystal structure of NaYInHg.

abc: 5.236 5.236 5.236
angles: 60.00 60.00 60.00
Atoms (fractional coordinates):
Y: 0.750 0.750 0.750
Na: 0.250 0.250 0.250
In: 0.000 0.000 0.000
Hg: 0.500 0.500 0.500

Output
The formation enthalpy at 0 K is -0.314 eV/atom. The total moment comes out at 0.0 μB/cell. The calculation puts the density of states at the Fermi level at 2.39 states/eV per cell. The final energy comes out at -3.02 eV/atom. Its crystal system is cubic.



6.
The following is a DFT calculation (PBE-GGA) of an optimized crystal structure of NaZnInHg2.

abc: 5.315 5.315 5.234
angles: 90.00 90.00 90.00
Atoms (fractional coordinates):
Hg: 0.500 0.000 0.000
In: 0.000 0.000 0.500
Na: 0.500 0.500 0.500
Zn: 0.000 0.000 0.000
Hg: 0.000 0.500 0.000

Output
The formation enthalpy at 0 K is 0.047 eV/atom. The total moment comes out at 0.0 μB/cell. The calculation puts the density of states at the Fermi level at 2.08 states/eV per cell. The final energy comes out at -1.14 eV/atom. Its crystal system is tetragonal.



7.
The following is a DFT calculation (PBE-GGA) of an optimized crystal structure of NaZnIn2Hg8.

abc: 5.926 7.218 9.227
angles: 89.72 90.09 128.39
Atoms (fractional coordinates):
Hg: 0.676 0.284 0.495
Hg: 0.151 0.838 0.780
In: 0.494 0.488 0.716
Hg: 0.324 0.716 0.505
In: 0.506 0.512 0.284
Hg: 0.365 0.649 0.996
Hg: 0.166 0.842 0.221
Na: 0.000 0.000 0.500
Hg: 0.849 0.162 0.220
Zn: 0.000 0.000 0.000
Hg: 0.635 0.351 0.004
Hg: 0.834 0.158 0.779

Output
The formation enthalpy at 0 K is -0.020 eV/atom. The total moment comes out at 0.0 μB/cell. The calculation puts the density of states at the Fermi level at 3.24 states/eV per cell. The final energy comes out at -0.89 eV/atom. Its crystal system is triclinic.



8.
The following is a DFT calculation (PBE-GGA) of an optimized crystal structure of Nb3InHg.

abc: 5.055 5.055 5.055
angles: 90.00 90.00 90.00
Atoms (fractional coordinates):
Nb: 0.500 0.000 0.000
Nb: 0.000 0.000 0.500
Hg: 0.000 0.000 0.000
Nb: 0.000 0.500 0.000
In: 0.500 0.500 0.500

Output
The formation enthalpy at 0 K is 1.652 eV/atom. The total moment comes out at 0.0 μB/cell. As for the energy above the lowest structure with this stoichiometry: 0 meV/atom. The calculation puts the density of states at the Fermi level at 3.64 states/eV per cell. The final energy comes out at -5.00 eV/atom. Its crystal system is cubic.



9.
The following is a DFT calculation (PBE-GGA) of an optimized crystal structure of NbInHg2.

abc: 7.831 7.831 6.292
angles: 51.52 51.52 90.00
Atoms (fractional coordinates):
Hg: 0.875 0.871 0.750
In: 0.000 0.000 0.000
In: 0.750 0.250 0.500
Hg: 0.375 0.379 0.750
Nb: 0.500 0.500 0.000
Hg: 0.621 0.125 0.250
Nb: 0.250 0.750 0.500
Hg: 0.129 0.625 0.250

Output
The formation enthalpy at 0 K is 0.436 eV/atom. The total moment comes out at 0.0 μB/cell. The calculation puts the density of states at the Fermi level at 0.71 states/eV per cell. The final energy comes out at -2.92 eV/atom. Its crystal system is tetragonal.



10.
The following is a DFT calculation (PBE-GGA) of an optimized crystal structure of Nb2InHg.

abc: 7.688 7.688 6.154
angles: 51.34 51.34 90.00
Atoms (fractional coordinates):
In: 0.500 0.500 0.000
Hg: 0.000 0.000 0.000
In: 0.250 0.750 0.500
Nb: 0.123 0.625 0.250
Nb: 0.627 0.125 0.250
Nb: 0.375 0.373 0.750
Nb: 0.875 0.877 0.750
Hg: 0.750 0.250 0.500

Output
The formation enthalpy at 0 K is 0.559 eV/atom. The total moment comes out at 0.0 μB/cell. The calculation puts the density of states at the Fermi level at 5.13 states/eV per cell. The final energy comes out at -5.24 eV/atom. Its crystal system is tetragonal.



11.
The following is a DFT calculation (PBE-GGA) of an optimized crystal structure of NbIn3Hg.

abc: 5.422 5.422 5.422
angles: 90.00 90.00 90.00
Atoms (fractional coordinates):
In: 0.500 0.000 0.000
Hg: 0.000 0.000 0.000
Nb: 0.500 0.500 0.500
In: 0.000 0.000 0.500
In: 0.000 0.500 0.000

Output
The formation enthalpy at 0 K is 1.131 eV/atom. The total moment comes out at 3.6 μB/cell. As for the energy above the lowest structure with this stoichiometry: 559 meV/atom. The calculation puts the density of states at the Fermi level at 5.30 states/eV per cell. The final energy comes out at -2.59 eV/atom. Its crystal system is cubic.



12.
The following is a DFT calculation (PBE-GGA) of an optimized crystal structure of NbInHg3.

abc: 5.527 5.527 5.527
angles: 90.00 90.00 90.00
Atoms (fractional coordinates):
Hg: 0.000 0.500 0.000
In: 0.500 0.500 0.500
Hg: 0.000 0.000 0.500
Nb: 0.000 0.000 0.000
Hg: 0.500 0.000 0.000

Output
The formation enthalpy at 0 K is 0.698 eV/atom. The total moment comes out at 2.5 μB/cell. As for the energy above the lowest structure with this stoichiometry: 0 meV/atom. The calculation puts the density of states at the Fermi level at 5.65 states/eV per cell. The final energy comes out at -2.04 eV/atom. Its crystal system is cubic.



13.
The following is a DFT calculation (PBE-GGA) of an optimized crystal structure of NbIn3Hg.

abc: 5.509 5.509 5.509
angles: 90.00 90.00 90.00
Atoms (fractional coordinates):
In: 0.500 0.000 0.000
In: 0.000 0.000 0.500
Hg: 0.500 0.500 0.500
In: 0.000 0.500 0.000
Nb: 0.000 0.000 0.000

Output
The formation enthalpy at 0 K is 0.572 eV/atom. The total moment comes out at 0.9 μB/cell. As for the energy above the lowest structure with this stoichiometry: 0 meV/atom. The calculation puts the density of states at the Fermi level at 5.01 states/eV per cell. The final energy comes out at -3.15 eV/atom. Its crystal system is cubic.



14.
The following is a DFT calculation (PBE-GGA) of an optimized crystal structure of NbInHg2.

abc: 3.123 3.123 11.301
angles: 82.06 82.06 60.00
Atoms (fractional coordinates):
Hg: 0.085 0.085 0.744
Hg: 0.915 0.915 0.256
In: 0.500 0.500 0.500
Nb: 0.000 0.000 0.000

Output
The formation enthalpy at 0 K is 0.494 eV/atom. The total moment comes out at 0.0 μB/cell. The calculation puts the density of states at the Fermi level at 3.37 states/eV per cell. The final energy comes out at -2.86 eV/atom. Its crystal system is trigonal.



15.
The following is a DFT calculation (PBE-GGA) of an optimized crystal structure of Nb3InHg.

abc: 5.031 5.031 5.031
angles: 90.00 90.00 90.00
Atoms (fractional coordinates):
In: 0.000 0.000 0.000
Hg: 0.500 0.500 0.500
Nb: 0.000 0.500 0.000
Nb: 0.000 0.000 0.500
Nb: 0.500 0.000 0.000

Output
The formation enthalpy at 0 K is 1.722 eV/atom. The total moment comes out at 0.0 μB/cell. As for the energy above the lowest structure with this stoichiometry: 70 meV/atom. The calculation puts the density of states at the Fermi level at 2.14 states/eV per cell. The final energy comes out at -4.93 eV/atom. Its crystal system is cubic.



16.
The following is a DFT calculation (PBE-GGA) of an optimized crystal structure of NbInHg.

abc: 5.494 5.528 9.050
angles: 112.22 118.59 32.85
Atoms (fractional coordinates):
Nb: 0.143 0.514 0.653
In: 0.403 0.298 0.107
In: 0.309 0.019 0.326
Nb: 0.569 0.804 0.780
Hg: 0.712 0.261 0.483
Hg: 0.000 0.057 0.951

Output
The formation enthalpy at 0 K is 0.180 eV/atom. The total moment comes out at 0.0 μB/cell. The calculation puts the density of states at the Fermi level at 3.84 states/eV per cell. The final energy comes out at -4.19 eV/atom. Its crystal system is triclinic.



17.
The following is a DFT calculation (PBE-GGA) of an optimized crystal structure of NbIn2NiHg.

abc: 4.816 4.823 4.816
angles: 90.00 90.00 90.00
Atoms (fractional coordinates):
Nb: 0.000 0.500 0.000
In: 0.500 0.000 0.000
Ni: 0.000 0.000 0.000
In: 0.000 0.000 0.500
Hg: 0.500 0.500 0.500

Output
The formation enthalpy at 0 K is 0.377 eV/atom. The total moment comes out at 0.0 μB/cell. The calculation puts the density of states at the Fermi level at 3.21 states/eV per cell. The final energy comes out at -3.95 eV/atom. Its crystal system is tetragonal.



18.
The following is a DFT calculation (PBE-GGA) of an optimized crystal structure of NbIn2TcHg.

abc: 5.175 5.373 5.175
angles: 90.00 90.00 90.00
Atoms (fractional coordinates):
Nb: 0.000 0.500 0.000
In: 0.000 0.000 0.500
Tc: 0.500 0.500 0.500
Hg: 0.000 0.000 0.000
In: 0.500 0.000 0.000

Output
The formation enthalpy at 0 K is 1.719 eV/atom. The total moment comes out at 1.1 μB/cell. The calculation puts the density of states at the Fermi level at 7.78 states/eV per cell. The final energy comes out at -3.52 eV/atom. Its crystal system is tetragonal.



19.
The following is a DFT calculation (PBE-GGA) of an optimized crystal structure of NbTlIn2Hg.

abc: 5.529 5.566 5.529
angles: 90.00 90.00 90.00
Atoms (fractional coordinates):
Nb: 0.000 0.000 0.000
In: 0.000 0.000 0.500
In: 0.500 0.000 0.000
Tl: 0.000 0.500 0.000
Hg: 0.500 0.500 0.500

Output
The formation enthalpy at 0 K is 0.574 eV/atom. The total moment comes out at 0.9 μB/cell. The calculation puts the density of states at the Fermi level at 5.27 states/eV per cell. The final energy comes out at -3.07 eV/atom. Its crystal system is tetragonal.



20.
The following is a DFT calculation (PBE-GGA) of an optimized crystal structure of Nd6InHg.

abc: 4.969 4.969 9.911
angles: 90.00 90.00 90.00
Atoms (fractional coordinates):
Nd: 0.500 0.000 0.750
Hg: 0.000 0.000 0.500
Nd: 0.000 0.500 0.250
Nd: 0.500 0.500 0.000
Nd: 0.500 0.000 0.250
Nd: 0.500 0.500 0.500
In: 0.000 0.000 0.000
Nd: 0.000 0.500 0.750

Output
The formation enthalpy at 0 K is -0.224 eV/atom. The total moment comes out at 0.0 μB/cell. The calculation puts the density of states at the Fermi level at 11.82 states/eV per cell. The final energy comes out at -4.18 eV/atom. Its crystal system is tetragonal.